VASP calculation (PBE) on a geometry-optimized BaAs2HBr structure.

Cell lengths 6.831, 6.831, 6.272 Å; angles 90.00, 90.00, 90.00 degrees
Fractional positions:
Ba1 0.000 0.000 0.000
As1 0.000 0.500 0.000
As2 0.500 0.000 0.000
H1 0.500 0.500 0.500
Br1 0.000 0.000 0.500

N(E_F)	0.79	states/eV per cell
total energy	-2.599	eV per atom
M_tot	1.2000	μB per atom

=====

VASP calculation (PBE) on a geometry-optimized AlSn3 structure.

Cell lengths 3.246, 3.984, 8.088 Å; angles 90.00, 90.00, 90.00 degrees
Fractional positions:
Al1 0.000 0.000 0.000
Sn1 0.000 0.500 0.260
Sn2 0.500 0.000 0.511
Sn3 0.500 0.500 0.812

formation enthalpy at 0 K	0.135	eV/atom
N(E_F)	1.63	states/eV per cell
total energy	-3.803	eV per atom
M_tot	0.0000	μB per atom

=====

VASP calculation (PBE) on a geometry-optimized Pr8Y2Er structure.

Cell lengths 9.603, 9.603, 9.603 Å; angles 145.02, 128.81, 63.51 degrees
Fractional positions:
Pr1 0.162 0.366 0.796
Pr2 0.163 0.163 0.000
Pr3 0.291 0.000 0.291
Pr4 0.430 0.634 0.796
Pr5 0.570 0.366 0.204
Pr6 0.709 0.000 0.709
Pr7 0.837 0.837 0.000
Pr8 0.838 0.634 0.204
Y1 0.299 0.799 0.500
Y2 0.701 0.201 0.500
Er1 0.000 0.500 0.500

formation enthalpy at 0 K	0.109	eV/atom
N(E_F)	16.40	states/eV per cell
total energy	-4.957	eV per atom
M_tot	0.0000	μB per atom

=====

VASP calculation (PBE) on a geometry-optimized YCrTe2Os structure.

Cell lengths 5.205, 5.205, 5.168 Å; angles 90.00, 90.00, 90.00 degrees
Fractional positions:
Y1 0.000 0.000 0.000
Cr1 0.500 0.500 0.000
Te1 0.000 0.500 0.500
Te2 0.500 0.000 0.500
Os1 0.000 0.000 0.500

N(E_F)	6.94	states/eV per cell
total energy	-5.606	eV per atom
M_tot	0.1598	μB per atom

=====

VASP calculation (PBE) on a geometry-optimized ZrFeP4 structure.

Cell lengths 5.021, 5.021, 5.021 Å; angles 60.00, 60.00, 60.00 degrees
Fractional positions:
Zr1 0.000 0.000 0.000
Fe1 0.250 0.250 0.250
P1 0.129 0.624 0.624
P2 0.624 0.129 0.624
P3 0.624 0.624 0.129
P4 0.624 0.624 0.624

formation enthalpy at 0 K	0.292	eV/atom
N(E_F)	4.70	states/eV per cell
total energy	-6.150	eV per atom
M_tot	0.4059	μB per atom

=====

VASP calculation (PBE) on a geometry-optimized AcEu2In structure.

Cell lengths 5.127, 5.127, 5.429 Å; angles 90.00, 90.00, 90.00 degrees
Fractional positions:
Ac1 0.000 0.000 0.000
Eu1 0.000 0.500 0.500
Eu2 0.500 0.000 0.500
In1 0.500 0.500 0.000

formation enthalpy at 0 K	-0.208	eV/atom
N(E_F)	3.02	states/eV per cell
total energy	-7.057	eV per atom
M_tot	3.6156	μB per atom

=====

VASP calculation (PBE) on a geometry-optimized Ce2Y6Ho5 structure.

Cell lengths 11.633, 20.232, 3.569 Å; angles 90.00, 90.00, 90.00 degrees
Fractional positions:
Ce1 0.170 0.217 0.000
Ce2 0.330 0.717 0.000
Ce3 0.670 0.283 0.000
Ce4 0.830 0.783 0.000
Y1 0.061 0.923 0.000
Y2 0.081 0.635 0.000
Y3 0.178 0.370 0.500
Y4 0.322 0.870 0.500
Y5 0.419 0.135 0.000
Y6 0.439 0.423 0.000
Y7 0.561 0.577 0.000
Y8 0.581 0.865 0.000
Y9 0.678 0.130 0.500
Y10 0.822 0.630 0.500
Y11 0.919 0.365 0.000
Y12 0.939 0.077 0.000
Ho1 0.000 0.500 0.500
Ho2 0.089 0.778 0.500
Ho3 0.199 0.054 0.500
Ho4 0.301 0.554 0.500
Ho5 0.411 0.278 0.500
Ho6 0.500 0.000 0.500
Ho7 0.589 0.722 0.500
Ho8 0.699 0.446 0.500
Ho9 0.801 0.946 0.500
Ho10 0.911 0.222 0.500

formation enthalpy at 0 K	0.140	eV/atom
N(E_F)	49.89	states/eV per cell
total energy	-5.517	eV per atom
M_tot	0.1384	μB per atom

=====

VASP calculation (PBE) on a geometry-optimized TaSiNi structure.

Cell lengths 5.890, 5.890, 5.890 Å; angles 90.00, 90.00, 90.00 degrees
Fractional positions:
Ta1 0.000 0.000 0.000
Ta2 0.000 0.500 0.500
Ta3 0.500 0.000 0.500
Ta4 0.500 0.500 0.000
Si1 0.250 0.250 0.250
Si2 0.250 0.750 0.750
Si3 0.750 0.250 0.750
Si4 0.750 0.750 0.250
Ni1 0.250 0.250 0.750
Ni2 0.250 0.750 0.250
Ni3 0.750 0.250 0.250
Ni4 0.750 0.750 0.750

N(E_F)	8.92	states/eV per cell
total energy	-7.470	eV per atom
M_tot	0.0000	μB per atom

=====

VASP calculation (PBE) on a geometry-optimized In4Bi2S9 structure.

Cell lengths 11.358, 3.968, 16.703 Å; angles 90.00, 94.18, 90.00 degrees
Fractional positions:
In1 0.003 0.250 0.218
In2 0.009 0.750 0.406
In3 0.240 0.750 0.084
In4 0.364 0.250 0.318
In5 0.636 0.750 0.682
In6 0.760 0.250 0.916
In7 0.991 0.250 0.594
In8 0.997 0.750 0.782
Bi1 0.366 0.250 0.572
Bi2 0.390 0.250 0.906
Bi3 0.610 0.750 0.094
Bi4 0.634 0.750 0.428
S1 0.094 0.250 0.088
S2 0.112 0.250 0.742
S3 0.125 0.750 0.546
S4 0.140 0.250 0.346
S5 0.231 0.750 0.926
S6 0.359 0.750 0.220
S7 0.400 0.750 0.435
S8 0.403 0.750 0.680
S9 0.415 0.250 0.061
S10 0.585 0.750 0.939
S11 0.597 0.250 0.320
S12 0.600 0.250 0.565
S13 0.641 0.250 0.780
S14 0.769 0.250 0.074
S15 0.860 0.750 0.654
S16 0.875 0.250 0.454
S17 0.888 0.750 0.258
S18 0.906 0.750 0.912

N(E_F)	0.00	states/eV per cell
total energy	-4.203	eV per atom
M_tot	0.0000	μB per atom

=====

VASP calculation (PBE) on a geometry-optimized Y2MgTe4 structure.

Cell lengths 15.886, 4.327, 7.563 Å; angles 90.00, 118.07, 90.00 degrees
Fractional positions:
Y1 0.239 0.000 0.225
Y2 0.261 0.500 0.775
Y3 0.739 0.500 0.225
Y4 0.761 0.000 0.775
Mg1 0.000 0.500 0.500
Mg2 0.500 0.000 0.500
Te1 0.115 0.500 0.938
Te2 0.127 0.000 0.470
Te3 0.373 0.500 0.530
Te4 0.385 0.000 0.062
Te5 0.615 0.000 0.938
Te6 0.627 0.500 0.470
Te7 0.873 0.000 0.530
Te8 0.885 0.500 0.062

total energy	-5.126	eV per atom
M_tot	0.0000	μB per atom

=====

VASP calculation (PBE) on a geometry-optimized Zn2InIr structure.

Cell lengths 3.914, 3.914, 8.359 Å; angles 90.00, 90.00, 90.00 degrees
Fractional positions:
Zn1 0.000 0.500 0.250
Zn2 0.000 0.500 0.750
Zn3 0.500 0.000 0.250
Zn4 0.500 0.000 0.750
In1 0.000 0.000 0.000
In2 0.500 0.500 0.500
Ir1 0.000 0.000 0.500
Ir2 0.500 0.500 0.000

formation enthalpy at 0 K	-0.093	eV/atom
N(E_F)	2.71	states/eV per cell
total energy	-3.630	eV per atom
M_tot	0.0000	μB per atom

=====

VASP calculation (PBE) on a geometry-optimized LiAcGa2Pt4 structure.

Cell lengths 9.268, 9.268, 9.268 Å; angles 26.99, 26.99, 26.99 degrees
Fractional positions:
Li1 0.000 0.000 0.000
Ac1 0.500 0.500 0.500
Ga1 0.267 0.267 0.267
Ga2 0.733 0.733 0.733
Pt1 0.092 0.092 0.092
Pt2 0.366 0.366 0.366
Pt3 0.634 0.634 0.634
Pt4 0.908 0.908 0.908

formation enthalpy at 0 K	-0.856	eV/atom
N(E_F)	3.94	states/eV per cell
total energy	-5.386	eV per atom
M_tot	0.0000	μB per atom

=====

VASP calculation (PBE) on a geometry-optimized Zr3TlH structure.

Cell lengths 8.444, 8.444, 8.444 Å; angles 60.00, 60.00, 60.00 degrees
Fractional positions:
Zr1 0.065 0.065 0.685
Zr2 0.065 0.685 0.065
Zr3 0.065 0.685 0.685
Zr4 0.315 0.315 0.935
Zr5 0.315 0.935 0.315
Zr6 0.315 0.935 0.935
Zr7 0.685 0.065 0.065
Zr8 0.685 0.065 0.685
Zr9 0.685 0.685 0.065
Zr10 0.935 0.315 0.315
Zr11 0.935 0.315 0.935
Zr12 0.935 0.935 0.315
Tl1 0.000 0.500 0.500
Tl2 0.500 0.000 0.500
Tl3 0.500 0.500 0.000
Tl4 0.500 0.500 0.500
H1 0.000 0.000 0.000
H2 0.000 0.000 0.500
H3 0.000 0.500 0.000
H4 0.500 0.000 0.000

N(E_F)	18.56	states/eV per cell
total energy	-6.126	eV per atom
M_tot	0.0000	μB per atom

=====

VASP calculation (PBE) on a geometry-optimized TcAg2Hg structure.

Cell lengths 4.226, 4.226, 8.153 Å; angles 90.00, 90.00, 90.00 degrees
Fractional positions:
Tc1 0.000 0.000 0.000
Tc2 0.500 0.500 0.500
Ag1 0.000 0.500 0.250
Ag2 0.000 0.500 0.750
Ag3 0.500 0.000 0.250
Ag4 0.500 0.000 0.750
Hg1 0.000 0.000 0.500
Hg2 0.500 0.500 0.000

formation enthalpy at 0 K	0.588	eV/atom
N(E_F)	5.09	states/eV per cell
total energy	-3.504	eV per atom
M_tot	0.6345	μB per atom

=====

VASP calculation (PBE) on a geometry-optimized La5PmDy2 structure.

Cell lengths 9.898, 9.898, 6.748 Å; angles 99.65, 99.65, 62.07 degrees
Fractional positions:
La1 0.061 0.939 0.750
La2 0.120 0.291 0.026
La3 0.291 0.120 0.526
La4 0.313 0.503 0.848
La5 0.497 0.687 0.652
La6 0.503 0.313 0.348
La7 0.687 0.497 0.152
La8 0.709 0.880 0.474
La9 0.880 0.709 0.974
La10 0.939 0.061 0.250
Pm1 0.000 0.500 0.500
Pm2 0.500 0.000 0.000
Dy1 0.175 0.661 0.352
Dy2 0.339 0.825 0.148
Dy3 0.661 0.175 0.852
Dy4 0.825 0.339 0.648

formation enthalpy at 0 K	0.129	eV/atom
N(E_F)	27.92	states/eV per cell
total energy	-4.695	eV per atom
M_tot	0.0000	μB per atom

=====

VASP calculation (PBE) on a geometry-optimized KAgSn2 structure.

Cell lengths 4.723, 4.723, 20.357 Å; angles 90.00, 90.00, 120.00 degrees
Fractional positions:
K1 0.000 0.000 0.000
K2 0.333 0.667 0.667
K3 0.667 0.333 0.333
Ag1 0.000 0.000 0.824
Ag2 0.333 0.667 0.491
Ag3 0.667 0.333 0.158
Sn1 0.000 0.000 0.208
Sn2 0.000 0.000 0.453
Sn3 0.333 0.667 0.119
Sn4 0.333 0.667 0.875
Sn5 0.667 0.333 0.541
Sn6 0.667 0.333 0.786

formation enthalpy at 0 K	-0.133	eV/atom
N(E_F)	4.83	states/eV per cell
total energy	-3.122	eV per atom
M_tot	0.0000	μB per atom

=====

VASP calculation (PBE) on a geometry-optimized K2SiOsPb structure.

Cell lengths 6.641, 6.641, 4.993 Å; angles 90.00, 90.00, 90.00 degrees
Fractional positions:
K1 0.000 0.500 0.000
K2 0.500 0.000 0.000
Si1 0.000 0.000 0.500
Os1 0.500 0.500 0.500
Pb1 0.000 0.000 0.000

N(E_F)	3.74	states/eV per cell
total energy	-2.876	eV per atom
M_tot	0.6692	μB per atom

=====

VASP calculation (PBE) on a geometry-optimized AgSb structure.

Cell lengths 3.580, 3.580, 3.580 Å; angles 90.00, 90.00, 90.00 degrees
Fractional positions:
Ag1 0.000 0.000 0.000
Sb1 0.500 0.500 0.500

N(E_F)	0.63	states/eV per cell
total energy	-3.277	eV per atom
M_tot	0.0000	μB per atom

=====

VASP calculation (PBE) on a geometry-optimized TlRu3 structure.

Cell lengths 5.631, 5.631, 9.270 Å; angles 90.00, 90.00, 120.00 degrees
Fractional positions:
Tl1 0.000 0.000 0.000
Tl2 0.000 0.000 0.500
Tl3 0.333 0.667 0.250
Tl4 0.667 0.333 0.750
Ru1 0.000 0.500 0.000
Ru2 0.000 0.500 0.500
Ru3 0.168 0.336 0.750
Ru4 0.168 0.832 0.750
Ru5 0.336 0.168 0.250
Ru6 0.500 0.000 0.000
Ru7 0.500 0.000 0.500
Ru8 0.500 0.500 0.000
Ru9 0.500 0.500 0.500
Ru10 0.664 0.832 0.750
Ru11 0.832 0.168 0.250
Ru12 0.832 0.664 0.250

formation enthalpy at 0 K	0.640	eV/atom
N(E_F)	25.26	states/eV per cell
total energy	-6.909	eV per atom
M_tot	0.2091	μB per atom

=====

VASP calculation (PBE) on a geometry-optimized ScCdTe2N structure.

Cell lengths 5.670, 5.670, 4.131 Å; angles 90.00, 90.00, 90.00 degrees
Fractional positions:
Sc1 0.000 0.000 0.000
Cd1 0.500 0.500 0.500
Te1 0.000 0.500 0.500
Te2 0.500 0.000 0.500
N1 0.500 0.500 0.000

N(E_F)	3.00	states/eV per cell
total energy	-3.760	eV per atom
M_tot	0.3092	μB per atom